VASP calculation (GGA-PBE) on a relaxed structure of NbBi2WS.

Unit cell a=5.588 b=4.404 c=5.588 alpha=90.00 beta=90.00 gamma=90.00
Element x y z (fractional)
Nb: 0.500 0.500 0.500
Bi: 0.000 0.000 0.500
Bi: 0.500 0.000 0.000
S: 0.000 0.500 0.000
W: 0.000 0.000 0.000

Computed properties:
Uncorrected formation energy: 5.0 eV per formula unit
Crystal system: tetragonal

=====

VASP calculation (GGA-PBE) on a relaxed structure of Nb2BiSb.

Unit cell a=4.906 b=4.906 c=4.906 alpha=60.00 beta=60.00 gamma=60.00
Element x y z (fractional)
Bi: 0.500 0.500 0.500
Nb: 0.750 0.750 0.750
Nb: 0.250 0.250 0.250
Sb: 0.000 0.000 0.000

Computed properties:
Uncorrected formation energy: 0.5 eV per formula unit
Crystal system: cubic
Energy relative to the lowest polymorph listed for this composition: 0 meV/atom

=====

VASP calculation (GGA-PBE) on a relaxed structure of NbBi3Sb.

Unit cell a=5.507 b=5.507 c=5.507 alpha=90.00 beta=90.00 gamma=90.00
Element x y z (fractional)
Bi: 0.500 0.000 0.000
Bi: 0.000 0.000 0.500
Bi: 0.000 0.500 0.000
Sb: 0.500 0.500 0.500
Nb: 0.000 0.000 0.000

Computed properties:
Uncorrected formation energy: 2.8 eV per formula unit
Crystal system: cubic
Energy relative to the lowest polymorph listed for this composition: 0 meV/atom